Entry from Alexandria via LeMat-Bulk: a geometry-optimized Ta2PbCl structure (GGA-PBE).

Total magnetization: 0.00 μB/f.u.
Crystal system: tetragonal
Symmetry: I-42d (122)
Energy above the most stable polymorph in this dataset: 912 meV/atom
Energy relative to the elements, uncorrected: 833 meV/atom
Total energy: -6.482 eV/atom
Fermi-level density of states: 1.0350 states/eV/atom

Lattice parameters (Å, degrees): 4.1218 4.1218 10.6390 78.83 78.83 90.00
Element x y z (fractional)
Ta 0.1229 0.6250 0.2500
Cl 0.2500 0.7500 0.5000
Pb 0.0000 0.0000 0.0000
Pb 0.7500 0.2500 0.5000
Ta 0.6271 0.1250 0.2500
Cl 0.5000 0.5000 0.0000
Ta 0.3750 0.3729 0.7500
Ta 0.8750 0.8771 0.7500